[1]
! Li3Cu5Te12 (PBE, relaxed); values from VASP
&SYSTEM
  ibrav = 0, nat = 80, ntyp = 3
/
ATOMIC_SPECIES
Li 6.94 Li.upf
Cu 63.55 Cu.upf
Te 127.60 Te.upf
ATOMIC_POSITIONS crystal
Li 0.7500 0.3750 0.1250
Li 0.8750 0.7500 0.1250
Li 0.3750 0.7500 0.6250
Li 0.2500 0.1250 0.3750
Li 0.8750 0.1250 0.2500
Li 0.3750 0.6250 0.2500
Li 0.6250 0.3750 0.7500
Li 0.1250 0.8750 0.7500
Li 0.7500 0.8750 0.6250
Li 0.6250 0.2500 0.3750
Li 0.1250 0.2500 0.8750
Li 0.2500 0.6250 0.8750
Cu 0.1250 0.3750 0.2500
Cu 0.0000 0.5000 0.0000
Cu 0.0000 0.0000 0.0000
Cu 0.3750 0.2500 0.1250
Cu 0.5000 0.0000 0.5000
Cu 0.5000 0.5000 0.0000
Cu 0.1250 0.7500 0.3750
Cu 0.7500 0.1250 0.8750
Cu 0.7500 0.6250 0.3750
Cu 0.3750 0.1250 0.7500
Cu 0.6250 0.8750 0.2500
Cu 0.5000 0.5000 0.5000
Cu 0.5000 0.0000 0.0000
Cu 0.0000 0.0000 0.5000
Cu 0.2500 0.3750 0.6250
Cu 0.2500 0.8750 0.1250
Cu 0.0000 0.5000 0.5000
Cu 0.8750 0.2500 0.6250
Cu 0.6250 0.7500 0.8750
Cu 0.8750 0.6250 0.7500
Te 0.7228 0.0960 0.0393
Te 0.3165 0.5393 0.4434
Te 0.9607 0.4040 0.2772
Te 0.5393 0.2228 0.0960
Te 0.6269 0.7228 0.6835
Te 0.9607 0.5566 0.1835
Te 0.3165 0.7772 0.3731
Te 0.0566 0.8731 0.0960
Te 0.5566 0.9607 0.6835
Te 0.7228 0.6269 0.1835
Te 0.7772 0.4607 0.4040
Te 0.8165 0.9434 0.0393
Te 0.0960 0.7228 0.5393
Te 0.4040 0.4434 0.1269
Te 0.1269 0.9434 0.4040
Te 0.3731 0.0960 0.5566
Te 0.1269 0.1835 0.2228
Te 0.4607 0.6835 0.0566
Te 0.8165 0.8731 0.2772
Te 0.0960 0.3731 0.0566
Te 0.4040 0.9607 0.7772
Te 0.5566 0.5960 0.3731
Te 0.9434 0.8165 0.5393
Te 0.7772 0.3165 0.8731
Te 0.4434 0.4040 0.6269
Te 0.0566 0.1835 0.4607
Te 0.2228 0.6835 0.1269
Te 0.1835 0.1269 0.7228
Te 0.5960 0.0393 0.2228
Te 0.9040 0.6269 0.9434
Te 0.5393 0.3165 0.9434
Te 0.6269 0.9040 0.4434
Te 0.8731 0.8165 0.7772
Te 0.8731 0.0566 0.5960
Te 0.9040 0.2772 0.4607
Te 0.1835 0.0566 0.9607
Te 0.5960 0.5566 0.8731
Te 0.4434 0.0393 0.3165
Te 0.2772 0.3731 0.8165
Te 0.2228 0.5393 0.5960
Te 0.9434 0.1269 0.9040
Te 0.6835 0.2228 0.6269
Te 0.4607 0.7772 0.9040
Te 0.0393 0.4434 0.8165
Te 0.3731 0.2772 0.3165
Te 0.0393 0.5960 0.7228
Te 0.6835 0.4607 0.5566
Te 0.2772 0.9040 0.9607
CELL_PARAMETERS angstrom
-10.1394 3.0582 -9.2905
6.8282 -11.6027 -4.1504
-5.7510 -2.2143 12.6687
! V   2152.4 Å³ per cell
! Calculated total energy   -3.33 eV per atom
! Formation energy without anion corrections   -0.13 eV/atom

[2]
! Fe2Ru (PBE, relaxed); values from VASP
&SYSTEM
  ibrav = 0, nat = 12, ntyp = 2
/
ATOMIC_SPECIES
Ru 101.07 Ru.upf
Fe 55.84 Fe.upf
ATOMIC_POSITIONS crystal
Ru 0.1304 0.2500 0.9172
Ru 0.3696 0.7500 0.4172
Ru 0.6304 0.2500 0.5828
Ru 0.8696 0.7500 0.0828
Fe 0.1236 0.2500 0.2482
Fe 0.1229 0.2500 0.5835
Fe 0.3771 0.7500 0.0835
Fe 0.3764 0.7500 0.7482
Fe 0.6236 0.2500 0.2518
Fe 0.6229 0.2500 0.9165
Fe 0.8771 0.7500 0.4165
Fe 0.8764 0.7500 0.7518
CELL_PARAMETERS angstrom
5.1656 0.0000 0.0000
0.0000 3.6388 0.0000
0.0000 0.0000 7.7311
! V   145.3 Å³ per cell
! Calculated total energy   -8.57 eV per atom
! Energy relative to the elements   0.161 eV per atom

[3]
! MgGa2SiO6 (PBE, relaxed); values from VASP
&SYSTEM
  ibrav = 0, nat = 20, ntyp = 4
/
ATOMIC_SPECIES
Mg 24.30 Mg.upf
Ga 69.72 Ga.upf
Si 28.09 Si.upf
O 16.00 O.upf
ATOMIC_POSITIONS crystal
Mg 0.2500 0.9008 0.0992
Mg 0.7500 0.0992 0.9008
Ga 0.3332 0.7211 0.5514
Ga 0.1668 0.4486 0.2789
Ga 0.6668 0.2789 0.4486
Ga 0.8332 0.5514 0.7211
Si 0.2500 0.1773 0.8227
Si 0.7500 0.8227 0.1773
O 0.1767 0.9590 0.8010
O 0.3233 0.1990 0.0410
O 0.8233 0.0410 0.1990
O 0.6767 0.8010 0.9590
O 0.4544 0.8526 0.3408
O 0.0456 0.6592 0.1474
O 0.5456 0.1474 0.6592
O 0.9544 0.3408 0.8526
O 0.0037 0.6922 0.5516
O 0.4963 0.4484 0.3078
O 0.9963 0.3078 0.4484
O 0.5037 0.5516 0.6922
CELL_PARAMETERS angstrom
-3.9592 -2.4926 -2.7674
3.1795 -4.7473 -3.9641
-3.0068 -4.3435 4.5226
! V   237.0 Å³ per cell
! Calculated total energy   -6.51 eV per atom
! Formation energy without anion corrections   -2.23 eV/atom

[4]
! U2Sn2AsRu4 (PBE, relaxed); values from VASP
&SYSTEM
  ibrav = 0, nat = 9, ntyp = 4
/
ATOMIC_SPECIES
U 238.03 U.upf
Sn 118.71 Sn.upf
As 74.92 As.upf
Ru 101.07 Ru.upf
ATOMIC_POSITIONS crystal
U 0.0000 0.6903 0.6903
U 0.0000 0.3097 0.3097
Sn 0.5000 0.7500 0.2500
Sn 0.5000 0.2500 0.7500
As 0.0000 0.0000 0.0000
Ru 0.0000 0.7247 0.2753
Ru 0.4494 0.7247 0.7247
Ru 0.0000 0.2753 0.7247
Ru 0.5506 0.2753 0.2753
CELL_PARAMETERS angstrom
6.3213 -0.0760 -0.1097
-3.1010 5.5090 0.1097
-3.1010 -1.8328 5.1963
! V   178.5 Å³ per cell
! Calculated total energy   -8.01 eV per atom
! Energy relative to the elements   0.023 eV per atom